# 1
A plane-wave DFT calculation with PBE was carried out for a relaxed structure of Ca2Ac3La2.

The structure in POSCAR format:
```
Ca2Ac3La2
1.0
1.923 -19.935 0.000
1.923 19.935 0.000
0.000 0.000 3.846
Ca Ac La
2 3 2
Direct
0.072 0.928 0.000 Ca
0.928 0.072 0.000 Ca
0.355 0.645 0.500 Ac
0.500 0.500 0.500 Ac
0.645 0.355 0.500 Ac
0.212 0.788 0.000 La
0.788 0.212 0.000 La
```

Formation energy from the elements, eV per atom: 0.08
Total moment, μB/f.u.: 0.00

# 2
A plane-wave DFT calculation with PBE was carried out for a relaxed structure of CaAcLa6.

The structure in POSCAR format:
```
CaAcLa6
1.0
5.376 0.000 0.000
0.000 5.376 0.000
0.000 0.000 10.599
Ca Ac La
1 1 6
Direct
0.000 0.000 0.000 Ca
0.000 0.000 0.500 Ac
0.000 0.500 0.254 La
0.000 0.500 0.746 La
0.500 0.000 0.254 La
0.500 0.000 0.746 La
0.500 0.500 0.000 La
0.500 0.500 0.500 La
```

Formation energy from the elements, eV per atom: 0.04
Total moment, μB/f.u.: 0.00

# 3
A plane-wave DFT calculation with PBE was carried out for a relaxed structure of Ca2Ac4La.

The structure in POSCAR format:
```
Ca2Ac4La
1.0
-5.366 5.366 5.356
5.366 -5.366 5.356
5.366 5.366 -5.356
Ca Ac La
4 8 2
Direct
0.375 0.234 0.359 Ca
0.766 0.125 0.141 Ca
0.875 0.016 0.641 Ca
0.984 0.625 0.859 Ca
0.141 0.396 0.107 Ac
0.146 0.391 0.607 Ac
0.290 0.035 0.893 Ac
0.460 0.854 0.245 Ac
0.604 0.710 0.745 Ac
0.609 0.215 0.755 Ac
0.785 0.540 0.393 Ac
0.965 0.859 0.255 Ac
0.250 0.750 0.500 La
0.500 0.500 0.000 La
```

Formation energy from the elements, eV per atom: 0.27
Total moment, μB/f.u.: 0.00
Energy above the most stable polymorph in this dataset, meV/atom: 0

# 4
A plane-wave DFT calculation with PBE was carried out for a relaxed structure of Ca2Ac2La5.

The structure in POSCAR format:
```
Ca2Ac2La5
1.0
11.887 -1.851 0.000
11.887 1.851 0.000
-0.679 0.000 8.311
Ca Ac La
2 2 5
Direct
0.188 0.188 0.122 Ca
0.812 0.812 0.878 Ca
0.443 0.443 0.658 Ac
0.557 0.557 0.342 Ac
0.000 0.000 0.000 La
0.093 0.093 0.743 La
0.310 0.310 0.444 La
0.690 0.690 0.556 La
0.907 0.907 0.257 La
```

Formation energy from the elements, eV per atom: 0.19
Total moment, μB/f.u.: 0.00

One value per record, in order, for raw total energy: -25.601 -35.366 -23.453 -35.175 eV per formula unit.